Compound: BaLi2Ac2Si2
Source: Alexandria via LeMat-Bulk
Functional: PBE
Structure: relaxed

## Properties
Uncorrected formation energy: -27 kJ/mol of atoms
Symmetry: R-3m

```
BaLi2Ac2Si2
1.0
2.3585 1.3617 10.9791
-2.3585 1.3617 10.9791
0.0000 -2.7234 10.9791
Ba Li Ac Si
1 2 2 2
direct
0.0000 0.0000 0.0000
0.4000 0.4000 0.4000
0.6000 0.6000 0.6000
0.1239 0.1239 0.1239
0.8761 0.8761 0.8761
0.2589 0.2589 0.2589
0.7411 0.7411 0.7411
```